[1]
A relaxed structure of Ag8PdAu4, computed with GGA-PBE.

Results
**Density of states at the Fermi level**: 0.182 states/eV per atom
**Spin magnetization**: 0.0 μB per cell
**Volume**: 20.475 Å³ per atom
**Symmetry**: Pm-3m, No. 221
**Electronic total energy**: -3.04 eV per atom

Structure (CIF):
```
data_Ag8PdAu4
_chemical_formula_sum 'Ag8 Pd1 Au4'
_space_group_name_H-M_alt 'P 1'
_space_group_IT_number 1
_space_group_name_Hall 'P 1'
_cell_length_a 6.437
_cell_length_b 6.430
_cell_length_c 6.431
_cell_angle_alpha 89.98
_cell_angle_beta 89.98
_cell_angle_gamma 89.98
loop_
_atom_site_label
_atom_site_fract_x
_atom_site_fract_y
_atom_site_fract_z
Au1 0.000 0.500 0.500
Ag1 0.754 0.754 0.754
Ag2 0.246 0.246 0.754
Ag3 0.754 0.754 0.246
Ag4 0.246 0.246 0.246
Au2 0.500 0.000 0.500
Ag5 0.754 0.246 0.754
Ag6 0.246 0.754 0.246
Ag7 0.754 0.246 0.246
Ag8 0.246 0.754 0.754
Au3 0.500 0.500 0.000
Pd1 0.500 0.500 0.500
Au4 0.000 0.000 0.000
```

[2]
A relaxed structure of Ag8Pd2Au3, computed with GGA-PBE.

Results
**Density of states at the Fermi level**: 0.374 states/eV per atom
**Spin magnetization**: 0.0 μB per cell
**Volume**: 19.179 Å³ per atom
**Symmetry**: C2/m, No. 12
**Electronic total energy**: -3.20 eV per atom

Structure (CIF):
```
data_Ag8Pd2Au3
_chemical_formula_sum 'Ag8 Pd2 Au3'
_space_group_name_H-M_alt 'P 1'
_space_group_IT_number 1
_space_group_name_Hall 'P 1'
_cell_length_a 5.449
_cell_length_b 7.846
_cell_length_c 7.846
_cell_angle_alpha 58.93
_cell_angle_beta 64.36
_cell_angle_gamma 64.36
loop_
_atom_site_label
_atom_site_fract_x
_atom_site_fract_y
_atom_site_fract_z
Pd1 0.482 0.800 0.800
Au1 0.000 0.824 0.176
Au2 0.000 0.176 0.824
Ag1 0.009 0.198 0.198
Ag2 0.993 0.401 0.401
Ag3 0.007 0.599 0.599
Ag4 0.991 0.802 0.802
Pd2 0.518 0.200 0.200
Ag5 0.452 0.802 0.440
Ag6 0.548 0.560 0.198
Ag7 0.452 0.440 0.802
Ag8 0.548 0.198 0.560
Au3 0.500 0.000 0.000
```

[3]
A relaxed structure of Ag2PdAu4, computed with GGA-PBE.

Results
**Density of states at the Fermi level**: 0.267 states/eV per atom
**Spin magnetization**: 0.0 μB per cell
**Volume**: 19.313 Å³ per atom
**Symmetry**: Cccm, No. 66
**Electronic total energy**: -3.34 eV per atom

Structure (CIF):
```
data_Ag2PdAu4
_chemical_formula_sum 'Ag4 Pd2 Au8'
_space_group_name_H-M_alt 'P 1'
_space_group_IT_number 1
_space_group_name_Hall 'P 1'
_cell_length_a 9.414
_cell_length_b 9.414
_cell_length_c 5.591
_cell_angle_alpha 90.00
_cell_angle_beta 90.00
_cell_angle_gamma 146.93
loop_
_atom_site_label
_atom_site_fract_x
_atom_site_fract_y
_atom_site_fract_z
Pd1 0.500 0.500 0.250
Au1 0.567 0.308 0.500
Au2 0.692 0.433 0.000
Pd2 0.500 0.500 0.750
Ag1 0.856 0.005 0.000
Au3 0.433 0.692 0.500
Ag2 0.144 0.995 0.000
Au4 0.500 0.000 0.243
Ag3 0.995 0.144 0.500
Ag4 0.005 0.856 0.500
Au5 0.000 0.500 0.743
Au6 0.500 0.000 0.757
Au7 0.000 0.500 0.257
Au8 0.308 0.567 0.000
```

[4]
A relaxed structure of AgPd4Au2, computed with GGA-PBE.

Results
**Density of states at the Fermi level**: 1.043 states/eV per atom
**Spin magnetization**: 0.0 μB per cell
**Volume**: 22.577 Å³ per atom
**Symmetry**: I4/mmm, No. 139
**Electronic total energy**: -3.49 eV per atom

Structure (CIF):
```
data_AgPd4Au2
_chemical_formula_sum 'Ag1 Pd4 Au2'
_space_group_name_H-M_alt 'P 1'
_space_group_IT_number 1
_space_group_name_Hall 'P 1'
_cell_length_a 4.892
_cell_length_b 4.892
_cell_length_c 7.454
_cell_angle_alpha 70.84
_cell_angle_beta 70.84
_cell_angle_gamma 90.00
loop_
_atom_site_label
_atom_site_fract_x
_atom_site_fract_y
_atom_site_fract_z
Au1 0.394 0.394 0.211
Pd1 0.000 0.500 0.000
Ag1 0.000 0.000 0.000
Pd2 0.500 0.000 0.000
Pd3 0.197 0.197 0.606
Au2 0.606 0.606 0.789
Pd4 0.803 0.803 0.394
```

[5]
A relaxed structure of PmAgPd2Au2, computed with GGA-PBE.

Results
**Density of states at the Fermi level**: 0.327 states/eV per atom
**Spin magnetization**: 0.0 μB per cell
**Volume**: 19.491 Å³ per atom
**Symmetry**: P2_1/m, No. 11
**Electronic total energy**: -4.51 eV per atom

Structure (CIF):
```
data_PmAgPd2Au2
_chemical_formula_sum 'Pm2 Ag2 Pd4 Au4'
_space_group_name_H-M_alt 'P 1'
_space_group_IT_number 1
_space_group_name_Hall 'P 1'
_cell_length_a 5.509
_cell_length_b 7.436
_cell_length_c 5.735
_cell_angle_alpha 95.34
_cell_angle_beta 90.00
_cell_angle_gamma 90.00
loop_
_atom_site_label
_atom_site_fract_x
_atom_site_fract_y
_atom_site_fract_z
Pd1 0.750 0.698 0.493
Au1 0.004 0.973 0.748
Au2 0.496 0.973 0.748
Pm1 0.250 0.655 0.311
Ag1 0.750 0.713 0.004
Pd2 0.750 0.378 0.199
Au3 0.504 0.027 0.252
Ag2 0.250 0.287 0.996
Pd3 0.250 0.622 0.801
Pm2 0.750 0.345 0.689
Pd4 0.250 0.302 0.507
Au4 0.996 0.027 0.252
```

[6]
A relaxed structure of PrAgPdAu, computed with GGA-PBE.

Results
**Density of states at the Fermi level**: 0.633 states/eV per atom
**Spin magnetization**: 0.0 μB per cell
**Volume**: 21.515 Å³ per atom
**Symmetry**: F-43m, No. 216
**Electronic total energy**: -4.53 eV per atom

Structure (CIF):
```
data_PrAgPdAu
_chemical_formula_sum 'Pr1 Ag1 Pd1 Au1'
_space_group_name_H-M_alt 'P 1'
_space_group_IT_number 1
_space_group_name_Hall 'P 1'
_cell_length_a 4.956
_cell_length_b 4.956
_cell_length_c 4.956
_cell_angle_alpha 60.00
_cell_angle_beta 60.00
_cell_angle_gamma 60.00
loop_
_atom_site_label
_atom_site_fract_x
_atom_site_fract_y
_atom_site_fract_z
Pr1 0.750 0.750 0.750
Ag1 0.250 0.250 0.250
Pd1 0.500 0.500 0.500
Au1 0.000 0.000 0.000
```

[7]
A relaxed structure of Pr2AgPd3Au12, computed with GGA-PBE.

Results
**Density of states at the Fermi level**: 0.162 states/eV per atom
**Spin magnetization**: 0.0 μB per cell
**Volume**: 24.113 Å³ per atom
**Symmetry**: R-3m, No. 166
**Electronic total energy**: -3.69 eV per atom

Structure (CIF):
```
data_Pr2AgPd3Au12
_chemical_formula_sum 'Pr2 Ag1 Pd3 Au12'
_space_group_name_H-M_alt 'P 1'
_space_group_IT_number 1
_space_group_name_Hall 'P 1'
_cell_length_a 8.307
_cell_length_b 8.307
_cell_length_c 8.307
_cell_angle_alpha 63.19
_cell_angle_beta 63.19
_cell_angle_gamma 63.19
loop_
_atom_site_label
_atom_site_fract_x
_atom_site_fract_y
_atom_site_fract_z
Au1 0.382 0.860 0.860
Au2 0.374 0.374 0.876
Pr1 0.615 0.615 0.615
Pd1 0.500 0.000 0.000
Au3 0.626 0.626 0.124
Pr2 0.385 0.385 0.385
Ag1 0.000 0.000 0.000
Au4 0.618 0.140 0.140
Au5 0.374 0.876 0.374
Pd2 0.000 0.500 0.000
Au6 0.876 0.374 0.374
Au7 0.140 0.618 0.140
Au8 0.626 0.124 0.626
Au9 0.140 0.140 0.618
Au10 0.124 0.626 0.626
Pd3 0.000 0.000 0.500
Au11 0.860 0.860 0.382
Au12 0.860 0.382 0.860
```

[8]
A relaxed structure of PrAgPdAu, computed with GGA-PBE.

Results
**Density of states at the Fermi level**: 0.404 states/eV per atom
**Spin magnetization**: 0.0 μB per cell
**Volume**: 21.244 Å³ per atom
**Symmetry**: Cm, No. 8
**Electronic total energy**: -4.53 eV per atom

Structure (CIF):
```
data_PrAgPdAu
_chemical_formula_sum 'Pr1 Ag1 Pd1 Au1'
_space_group_name_H-M_alt 'P 1'
_space_group_IT_number 1
_space_group_name_Hall 'P 1'
_cell_length_a 5.269
_cell_length_b 5.269
_cell_length_c 4.814
_cell_angle_alpha 122.98
_cell_angle_beta 123.18
_cell_angle_gamma 90.00
loop_
_atom_site_label
_atom_site_fract_x
_atom_site_fract_y
_atom_site_fract_z
Pd1 0.250 0.751 0.500
Au1 0.750 0.249 0.500
Ag1 0.000 0.000 0.000
Pr1 0.500 0.500 0.000
```

[9]
A relaxed structure of AgPdPtAu, computed with GGA-PBE.

Results
**Density of states at the Fermi level**: 1.170 states/eV per atom
**Spin magnetization**: 0.0 μB per cell
**Volume**: 16.608 Å³ per atom
**Symmetry**: R3m, No. 160
**Electronic total energy**: -4.36 eV per atom

Structure (CIF):
```
data_AgPdPtAu
_chemical_formula_sum 'Ag1 Pd1 Pt1 Au1'
_space_group_name_H-M_alt 'P 1'
_space_group_IT_number 1
_space_group_name_Hall 'P 1'
_cell_length_a 2.836
_cell_length_b 2.837
_cell_length_c 9.673
_cell_angle_alpha 90.03
_cell_angle_beta 81.57
_cell_angle_gamma 60.01
loop_
_atom_site_label
_atom_site_fract_x
_atom_site_fract_y
_atom_site_fract_z
Au1 0.097 0.678 0.127
Pd1 0.596 0.931 0.877
Pt1 0.424 0.517 0.635
Ag1 0.257 0.100 0.386
```

[10]
A relaxed structure of Ag2PdPtAu5, computed with GGA-PBE.

Results
**Density of states at the Fermi level**: 0.422 states/eV per atom
**Spin magnetization**: 0.0 μB per cell
**Volume**: 19.304 Å³ per atom
**Symmetry**: I4/mcm, No. 140
**Electronic total energy**: -3.41 eV per atom

Structure (CIF):
```
data_Ag2PdPtAu5
_chemical_formula_sum 'Ag4 Pd2 Pt2 Au10'
_space_group_name_H-M_alt 'P 1'
_space_group_IT_number 1
_space_group_name_Hall 'P 1'
_cell_length_a 6.730
_cell_length_b 6.730
_cell_length_c 9.028
_cell_angle_alpha 111.88
_cell_angle_beta 111.88
_cell_angle_gamma 90.00
loop_
_atom_site_label
_atom_site_fract_x
_atom_site_fract_y
_atom_site_fract_z
Pt1 0.250 0.250 0.500
Pd1 0.750 0.250 0.500
Ag1 0.633 0.133 0.000
Ag2 0.133 0.367 0.000
Au1 0.417 0.387 0.305
Pd2 0.250 0.750 0.500
Au2 0.083 0.583 0.695
Au3 0.887 0.917 0.305
Au4 0.613 0.113 0.695
Au5 0.500 0.500 0.000
Ag3 0.367 0.867 0.000
Au6 0.113 0.083 0.695
Au7 0.583 0.613 0.695
Au8 0.387 0.887 0.305
Pt2 0.750 0.750 0.500
Au9 0.000 0.000 0.000
Au10 0.917 0.417 0.305
Ag4 0.867 0.633 0.000
```

[11]
A relaxed structure of Ag2Pd2PtAu2, computed with GGA-PBE.

Results
**Density of states at the Fermi level**: 0.531 states/eV per atom
**Spin magnetization**: 0.0 μB per cell
**Volume**: 16.779 Å³ per atom
**Symmetry**: C2/m, No. 12
**Electronic total energy**: -4.14 eV per atom

Structure (CIF):
```
data_Ag2Pd2PtAu2
_chemical_formula_sum 'Ag2 Pd2 Pt1 Au2'
_space_group_name_H-M_alt 'P 1'
_space_group_IT_number 1
_space_group_name_Hall 'P 1'
_cell_length_a 4.106
_cell_length_b 4.952
_cell_length_c 6.419
_cell_angle_alpha 97.75
_cell_angle_beta 90.00
_cell_angle_gamma 114.49
loop_
_atom_site_label
_atom_site_fract_x
_atom_site_fract_y
_atom_site_fract_z
Au1 0.144 0.288 0.423
Pd1 0.717 0.434 0.138
Pt1 0.000 0.000 0.000
Au2 0.856 0.712 0.577
Pd2 0.283 0.566 0.862
Ag1 0.569 0.139 0.720
Ag2 0.431 0.861 0.280
```